The following is a PBE calculation of Li2ZnCu2Ag2Sn after structural relaxation, from OQMD.

total DFT energy (no corrections): -23.37 eV per cell
density: 7.3 g/cm3
calculated volume: 15.46 Å³ per atom

The structure in extended XYZ format:
```
8
Lattice="-1.931 -0.573 3.905 -2.359 -3.317 -1.654 4.615 -4.119 1.677" Properties=species:S:1:pos:R:3 pbc="T T T"
Ag 0.072 -2.776 -0.372
Ag 2.397 -3.288 3.174
Cu 0.280 -1.398 2.405
Cu 2.190 -4.666 0.398
Li -2.145 -1.945 1.126
Li 2.307 -2.059 0.839
Sn 0.000 0.000 0.000
Zn 0.162 -4.004 1.964
```

The following is a PBE calculation of LiTlCuAg after structural relaxation, from OQMD.

offset from the most stable computed form: 0.000 eV per atom
density: 9.4 g/cm3
calculated volume: 16.82 Å³ per atom

The structure in extended XYZ format:
```
4
Lattice="-2.053 0.749 4.009 -2.692 3.648 0.539 -4.518 -0.534 0.386" Properties=species:S:1:pos:R:3 pbc="T T T"
Ag -4.631 1.931 2.467
Cu -6.947 2.897 3.701
Li -2.316 0.966 1.234
Tl 0.000 0.000 0.000
```

The following is a PBE calculation of LiTlCuAg after structural relaxation, from OQMD.

offset from the most stable computed form: 0.062 eV per atom
density: 9.2 g/cm3
calculated volume: 17.33 Å³ per atom

The structure in extended XYZ format:
```
4
Lattice="0.000 3.260 3.260 3.260 0.000 3.260 3.260 3.260 0.000" Properties=species:S:1:pos:R:3 pbc="T T T"
Ag 1.630 1.630 1.630
Cu 4.891 4.891 4.891
Li 3.260 3.260 3.260
Tl 0.000 0.000 0.000
```